[1]
Below is an optimized crystal structure of Ho6HgIr, with properties calculated at the PBE level.

a b c (Å): 6.6326 6.6326 6.7066
angles (deg): 101.45 101.45 116.15
Last column: nearest neighbours and their distance in Å.
Positions (direct):
Ho: 0.0302 0.4065 0.2407  1 Ir 2.75, 1 Hg 2.97
Ho: 0.2336 0.2336 0.7659  1 Ir 2.66
Ho: 0.4065 0.0302 0.2407  1 Ir 2.75, 1 Hg 2.97
Ho: 0.5935 0.9698 0.7593  1 Ir 2.75, 1 Hg 2.97
Ho: 0.7664 0.7664 0.2341  1 Ir 2.66
Ho: 0.9698 0.5935 0.7593  1 Ir 2.75, 1 Hg 2.97
Hg: 0.5000 0.5000 0.5000  6 Ho 2.97-3.03
Ir: 0.0000 0.0000 0.0000  6 Ho 2.66-2.75

Computed properties:
**Formation energy**: -0.192 eV per atom

***

[2]
Below is an optimized crystal structure of LaTa2Br, with properties calculated at the PBE level.

a b c (Å): 3.0912 3.0912 9.1580
angles (deg): 90.00 90.00 90.00
Last column: nearest neighbours and their distance in Å.
Positions (direct):
La: 0.0000 0.0000 0.0000  4 La 3.09
Ta: 0.5000 0.5000 0.2945  4 Br 2.88, 4 Ta 3.09
Ta: 0.5000 0.5000 0.7055  4 Br 2.88, 4 Ta 3.09
Br: 0.0000 0.0000 0.5000  8 Ta 2.88, 4 Br 3.09

***

[3]
Below is an optimized crystal structure of MnGaSiS, with properties calculated at the PBE level.

a b c (Å): 2.7283 2.7283 8.8259
angles (deg): 90.00 90.27 90.00
Last column: nearest neighbours and their distance in Å.
Positions (direct):
Mn: 0.0000 0.0000 0.0000  4 S 2.29, 4 Si 2.53
Ga: 0.4918 0.5000 0.5231  1 Si 2.57, 4 Ga 2.73
Si: 0.4971 0.5000 0.8146  4 Mn 2.53, 1 Ga 2.57, 4 Si 2.73
S: 0.5019 0.5000 0.1396  4 Mn 2.29

***

[4]
Below is an optimized crystal structure of KSc2Tl, with properties calculated at the PBE level.

a b c (Å): 3.3830 3.3830 11.6019
angles (deg): 90.00 90.00 113.70
Last column: nearest neighbours and their distance in Å.
Positions (direct):
K: 0.0000 0.0000 0.0000  6 K 3.38-3.70
Sc: 0.5000 0.5000 0.2943  2 Tl 3.02
Sc: 0.5000 0.5000 0.7057  2 Tl 3.02
Tl: 0.0000 0.0000 0.5000  4 Sc 3.02

Computed properties:
**Formation energy**: 0.278 eV per atom

***

[5]
Below is an optimized crystal structure of K2RbCu, with properties calculated at the PBE level.

a b c (Å): 8.7013 8.7013 8.7013
angles (deg): 100.43 100.43 129.65
Last column: nearest neighbours and their distance in Å.
Positions (direct):
K: 0.0157 0.6250 0.8907  2 Cu 3.33
K: 0.3750 0.2657 0.3907  2 Cu 3.33
K: 0.7343 0.1250 0.1093  2 Cu 3.33
K: 0.8750 0.9843 0.6093  2 Cu 3.33
Rb: 0.2500 0.7500 0.5000  2 Cu 3.70
Rb: 0.5000 0.5000 0.0000  2 Cu 3.70
Cu: 0.0000 0.0000 0.0000  4 K 3.33, 2 Rb 3.70
Cu: 0.7500 0.2500 0.5000  4 K 3.33, 2 Rb 3.70

Computed properties:
**Formation energy**: 0.289 eV per atom

***

[6]
Below is an optimized crystal structure of Tb3B11, with properties calculated at the PBE level.

a b c (Å): 8.0638 8.0638 8.0638
angles (deg): 156.47 138.80 47.99
Last column: nearest neighbours and their distance in Å.
Positions (direct):
Tb: 0.0000 0.0000 0.0000  18 B 2.53-2.84
Tb: 0.2431 0.2431 0.0000  12 B 2.66-2.75
Tb: 0.7569 0.7569 0.0000  12 B 2.66-2.75
B: 0.0666 0.3837 0.6829  4 B 1.88-2.08
B: 0.2224 0.8800 0.3424  4 B 1.79-1.98
B: 0.2993 0.6163 0.6829  4 B 1.88-2.08
B: 0.3397 0.5000 0.8397  5 B 1.82-1.93
B: 0.4624 0.1200 0.3424  4 B 1.79-1.98
B: 0.5000 0.0000 0.5000  8 B 1.88-1.98
B: 0.5376 0.8800 0.6576  4 B 1.79-1.98
B: 0.6603 0.5000 0.1603  5 B 1.82-1.93
B: 0.7007 0.3837 0.3171  4 B 1.88-2.08
B: 0.7776 0.1200 0.6576  4 B 1.79-1.98
B: 0.9334 0.6163 0.3171  4 B 1.88-2.08

Computed properties:
**Formation energy**: -0.224 eV per atom

***

[7]
Below is an optimized crystal structure of LiGa6Mo, with properties calculated at the PBE level.

a b c (Å): 4.8554 4.8554 7.3614
angles (deg): 109.04 109.04 67.86
Last column: nearest neighbours and their distance in Å.
Positions (direct):
Li: 0.0000 0.0000 0.0000  8 Ga 2.75
Ga: 0.0795 0.5651 0.1910  1 Mo 2.57, 3 Ga 2.59-2.79, 2 Li 2.75
Ga: 0.3490 0.3490 0.5502  1 Mo 2.69, 5 Ga 2.81-2.90
Ga: 0.4349 0.9205 0.8090  1 Mo 2.57, 3 Ga 2.59-2.79, 2 Li 2.75
Ga: 0.5651 0.0795 0.1910  1 Mo 2.57, 3 Ga 2.59-2.79, 2 Li 2.75
Ga: 0.6510 0.6510 0.4498  1 Mo 2.69, 5 Ga 2.81-2.90
Ga: 0.9205 0.4349 0.8090  1 Mo 2.57, 3 Ga 2.59-2.79, 2 Li 2.75
Mo: 0.0000 0.0000 0.5000  6 Ga 2.57-2.69

Computed properties:
**Formation energy**: 0.062 eV per atom

***

[8]
Below is an optimized crystal structure of Tl2CoSe, with properties calculated at the PBE level.

a b c (Å): 3.2598 3.2598 8.2169
angles (deg): 90.00 90.00 90.00
Last column: nearest neighbours and their distance in Å.
Positions (direct):
Tl: 0.0000 0.0000 0.2050  4 Co 2.85
Tl: 0.0000 0.0000 0.7950  4 Co 2.85
Co: 0.5000 0.5000 0.0000  8 Tl 2.85
Se: 0.5000 0.5000 0.5000  4 Se 3.26, 8 Tl 3.35

***

| no. | D(E_F) (states/eV/atom) | size of the total moment (Bohr magnetons per cell) | raw total energy (eV/cell) |
| --- | --- | --- | --- |
| 1 | 1.335 | 0.00 | -38.2 |
| 2 | 0.987 | 0.00 | -27.5 |
| 3 | 0.572 | 0.00 | -22.1 |
| 4 | 1.390 | 0.00 | -15.0 |
| 5 | 0.448 | 0.00 | -12.2 |
| 6 | 0.191 | 0.00 | -90.5 |
| 7 | 0.465 | 0.00 | -30.4 |
| 8 | 0.946 | 1.53 | -13.4 |